No. 1
First-principles (GGA-PBE) data for an optimized crystal structure of Al4Co2Rh, as listed in Alexandria.

Values from the calculation:
ρ = 5722 kg/m3
E = -40.861 eV/f.u.
Formation energy = -618 meV/atom

Unit cell a=4.106 b=4.106 c=6.951 alpha=72.82 beta=72.82 gamma=60.00
Sites, in units of the cell vectors:
1 Al 0.869 0.869 0.392
2 Al 0.384 0.384 0.847
3 Al 0.616 0.616 0.153
4 Al 0.131 0.131 0.608
5 Co 0.746 0.746 0.762
6 Co 0.254 0.254 0.238
7 Rh 0.000 0.000 0.000

***

No. 2
First-principles (GGA-PBE) data for an optimized crystal structure of AlCo2Rh, as listed in Alexandria.

Values from the calculation:
ρ = 8367 kg/m3
E = -26.127 eV/f.u.
Formation energy = -205 meV/atom

Unit cell a=2.809 b=2.809 c=6.231 alpha=90.00 beta=90.00 gamma=90.00
Last column: magnetic moment on the atom in μB.
Sites, in units of the cell vectors:
1 Co 0.000 0.000 0.515  1.25
2 Co 0.000 0.000 0.985  1.25
3 Al 0.500 0.500 0.750  -0.03
4 Rh 0.500 0.500 0.250  0.82